Below is a relaxed NaMn2ReMo crystal, with properties calculated at the PBE level.

The total energy is -7.359 eV per atom. As for the spin magnetization: 7.0 Bohr magnetons per cell.

```
data_NaMn2ReMo
_chemical_formula_sum 'Na1 Mn2 Re1 Mo1'
_cell_length_a 4.8695
_cell_length_b 4.7420
_cell_length_c 4.8695
_cell_angle_alpha 90.00
_cell_angle_beta 90.00
_cell_angle_gamma 90.00
_space_group_name_H-M_alt 'P 1'
_space_group_IT_number 1
_space_group_name_Hall 'P 1'
loop_
_atom_site_label
_atom_site_fract_x
_atom_site_fract_y
_atom_site_fract_z
Mo1 0.0000 0.5000 0.0000
Mn1 0.5000 0.0000 0.0000
Mn2 0.0000 0.0000 0.5000
Re1 0.0000 0.0000 0.0000
Na1 0.5000 0.5000 0.5000
```